[1]
Compound: Zr2Co2Ir
Source: Alexandria via LeMat-Bulk
Functional: PBE
Structure: relaxed

density of states at the Fermi level = 0.783 states/eV per atom
spin magnetization = 0.0 μB/f.u.
space group = No. 71
volume = 16.002 Å³/atom
formation energy = -0.47 eV per atom

abc: 4.265 5.007 5.007
angles: 59.09 64.80 64.80
Element x y z (fractional)
Zr 0.793 0.707 0.707
Zr 0.207 0.293 0.293
Co 0.500 0.270 0.730
Co 0.500 0.730 0.270
Ir 0.000 0.000 0.000

[2]
Compound: ZrCoIr2
Source: Alexandria via LeMat-Bulk
Functional: PBE
Structure: relaxed

density of states at the Fermi level = 1.639 states/eV per atom
spin magnetization = 2.1 μB/f.u.
space group = No. 166
volume = 15.378 Å³/atom
formation energy = 0.00 eV per atom

abc: 9.087 9.087 9.087
angles: 17.84 17.84 17.84
Element x y z (fractional)
Co 0.750 0.750 0.750
Ir 0.008 0.008 0.008
Ir 0.492 0.492 0.492
Zr 0.250 0.250 0.250

[3]
Compound: ZrCoIr2
Source: Alexandria via LeMat-Bulk
Functional: PBE
Structure: relaxed

density of states at the Fermi level = 2.000 states/eV per atom
spin magnetization = 2.5 μB/f.u.
space group = No. 216
volume = 15.656 Å³/atom
formation energy = -0.11 eV per atom

abc: 4.457 4.457 4.457
angles: 60.00 60.00 60.00
Element x y z (fractional)
Co 0.500 0.500 0.500
Ir 0.000 0.000 0.000
Ir 0.750 0.750 0.750
Zr 0.250 0.250 0.250